NbSn2 | PBE | relaxed

a b c (Å): 5.000 5.000 3.047
angles (deg): 90.00 90.00 90.00
Fractional coordinates of all 3 atoms:
Nb: 0.000 0.000 0.000
Sn: 0.000 0.500 0.500
Sn: 0.500 0.000 0.500

Summary:
- D(E_F) (states/eV per atom) = 0.59
- calculated volume (A^3/atom) = 25.39
- crystal system = tetragonal
- calculated total energy (eV/atom) = -5.977